No. 1
! PmCoPd | OQMD | PBE-GGA | optimized geometry; values from VASP
! Calculated formation energy: 50 meV per atom
! Final energy: -5.625 eV per atom
&SYSTEM
  ibrav = 0, nat = 3, ntyp = 3
/
ATOMIC_SPECIES
Pm 145.00 Pm.upf
Co 58.93 Co.upf
Pd 106.42 Pd.upf
ATOMIC_POSITIONS crystal
Pm 0.250 0.250 0.250
Co 0.750 0.750 0.750
Pd 0.000 0.000 0.000
CELL_PARAMETERS angstrom
0.036 -4.437 -1.044
-1.453 -3.069 3.041
-3.926 -2.210 -0.691



No. 2
! Pr2CoSb4Pd | OQMD | PBE-GGA | optimized geometry; values from VASP
! Final energy: -5.511 eV per atom
&SYSTEM
  ibrav = 0, nat = 8, ntyp = 4
/
ATOMIC_SPECIES
Sb 121.76 Sb.upf
Co 58.93 Co.upf
Pr 140.91 Pr.upf
Pd 106.42 Pd.upf
ATOMIC_POSITIONS crystal
Sb 0.000 0.000 0.500
Sb 0.000 0.500 0.852
Sb 0.500 0.500 0.500
Sb 0.500 0.000 0.148
Co 0.000 0.000 0.000
Pr 0.000 0.500 0.248
Pr 0.500 0.000 0.752
Pd 0.500 0.500 0.000
CELL_PARAMETERS angstrom
4.423 0.000 0.000
0.000 4.423 0.000
0.000 0.000 10.108



> Look up the final energy of the second one.

-5.511 eV per atom